Record 1
This record from Alexandria describes an optimized crystal structure of Ni2CS. The functional is PBE.

Geometry as POSCAR:
```
Ni2CS
1.0
3.0122 -0.2767 2.4200
0.8223 2.9187 2.4107
-0.6032 -0.4023 3.8054
Ni S C
2 1 1
direct
0.2500 0.2500 0.2500
0.7500 0.7500 0.7500
0.5000 0.5000 0.5000
0.0000 0.0000 0.0000
```

Values from the calculation:
Crystal system: cubic
SG: Fm-3m (225)
Energy relative to the lowest polymorph listed for this composition, meV/atom: 811
Energy relative to the elements, uncorrected, eV/atom: 0.928
Magnetic moment, μB/f.u.: 0.000

---

Record 2
This record from Alexandria describes an optimized crystal structure of PaZnCoRu. The functional is PBE.

Geometry as POSCAR:
```
PaZnCoRu
1.0
-3.0856 2.8650 -1.6460
-4.4029 -0.8223 0.6139
-2.4117 2.5873 2.8157
Ru Zn Pa Co
1 1 1 1
direct
0.7500 0.7500 0.7500
0.5000 0.5000 0.5000
0.0000 0.0000 0.0000
0.2500 0.2500 0.2500
```

Values from the calculation:
Crystal system: cubic
SG: F-43m (216)
Energy relative to the lowest polymorph listed for this composition, meV/atom: 113
Formation enthalpy at 0 K, eV per atom: -0.2689
Magnetic moment, μB/f.u.: 0.000